Record 1
Below is a relaxed structure of CsP3H6, with properties calculated at the PBE level.

The structure belongs to space group R3m (No. 160, hexagonal axes); the cell edges are 10.7511, 10.7511 and 5.3113 Å and the angles 90.00°, 90.00° and 120.00°. The inequivalent atoms are Cs at (0.0000, 0.0000, 0.0000), P at (0.1778, 0.3557, 0.2016), H at (0.1574, 0.0787, 0.5062) and H at (0.1694, 0.3389, 0.9329).

The calculated density is 2.17 g/cm3. The raw total energy is -3.596 eV per atom.

Record 2
Below is a relaxed structure of Cs2P4H, with properties calculated at the PBE level.

The structure belongs to space group I4/mmm (No. 139); the cell edges are 4.529, 4.529 and 17.430 Å and the angles 90.00°, 90.00° and 90.00°. The inequivalent atoms are Cs at (0.000, 0.000, 0.160), P at (0.000, 0.000, 0.409), P at (0.000, 0.500, 0.000) and H at (0.000, 0.000, 0.500).

The calculated density is 3.63 g/cm3. The raw total energy is -3.494 eV per atom.

Record 3
Below is a relaxed structure of CsRbPH, with properties calculated at the PBE level.

The structure belongs to space group Cm (No. 8); the cell edges are 9.841, 5.643 and 5.275 Å and the angles 90.00°, 90.69° and 90.00°. The inequivalent atoms are Cs at (0.000, 0.000, 0.000), Rb at (0.169, 0.500, 0.505), P at (0.335, 0.000, 0.294) and H at (0.334, 0.000, 0.018).

The calculated density is 2.84 g/cm3. The raw total energy is -2.915 eV per atom.

Record 4
Below is a relaxed structure of CsPH2Rh, with properties calculated at the PBE level.

The structure belongs to space group P4/mmm (No. 123); the cell edges are 4.030, 4.030 and 5.699 Å and the angles 90.00°, 90.00° and 90.00°. The inequivalent atoms are Cs at (0.000, 0.000, 0.000), P at (0.500, 0.500, 0.000), H at (0.000, 0.500, 0.500) and Rh at (0.000, 0.000, 0.500).

The calculated density is 4.82 g/cm3. The raw total energy is -2.884 eV per atom.

- Look up the raw total energy of the fourth one.
  -2.884 eV per atom